Here is crystalline YAuF2 at its relaxed geometry from the Alexandria database. Energies are from GGA-PBE.

## Properties
electronic total energy = -19.1 eV per cell
Fermi-level density of states = 1.30 states/eV per cell
volume = 21.5 A^3/atom
space-group type = R-3m (166)
energy relative to the elements, uncorrected = -1.404 eV per atom
energy relative to the lowest polymorph listed for this composition = 0.990 eV per atom

a = 8.8836 Å, b = 8.8836 Å, c = 8.8836 Å
α = 21.97°, β = 21.97°, γ = 21.97°
Fractional positions:
Y 0.0000 0.0000 0.0000
Au 0.5000 0.5000 0.5000
F 0.0795 0.0795 0.0795
F 0.9205 0.9205 0.9205

---

Here is crystalline Y2AuF2 at its relaxed geometry from the Alexandria database. Energies are from GGA-PBE.

## Properties
electronic total energy = -32.3 eV per cell
Fermi-level density of states = 2.37 states/eV per cell
volume = 17.9 A^3/atom
space-group type = I4/mmm (139)
energy relative to the elements, uncorrected = -2.475 eV per atom

a = 7.2237 Å, b = 7.2237 Å, c = 7.2237 Å
α = 150.80°, β = 150.80°, γ = 41.76°
Fractional positions:
Y 0.1331 0.1331 0.0000
Y 0.8669 0.8669 0.0000
Au 0.5000 0.5000 0.0000
F 0.2500 0.7500 0.5000
F 0.7500 0.2500 0.5000

---

Here is crystalline ZnAu2F at its relaxed geometry from the Alexandria database. Energies are from GGA-PBE.

## Properties
electronic total energy = -11.1 eV per cell
Fermi-level density of states = 1.49 states/eV per cell
volume = 15.4 A^3/atom
space-group type = Fm-3m (225)
energy relative to the elements, uncorrected = -0.338 eV per atom
energy relative to the lowest polymorph listed for this composition = 0.049 eV per atom

a = 4.4366 Å, b = 4.4366 Å, c = 4.4366 Å
α = 60.00°, β = 60.00°, γ = 60.00°
Fractional positions:
Zn 0.0000 0.0000 0.0000
Au 0.2500 0.2500 0.2500
Au 0.7500 0.7500 0.7500
F 0.5000 0.5000 0.5000

---

Here is crystalline Zn3AuF at its relaxed geometry from the Alexandria database. Energies are from GGA-PBE.

## Properties
electronic total energy = -10.2 eV per cell
Fermi-level density of states = 1.22 states/eV per cell
volume = 23.8 A^3/atom
space-group type = Pm-3m (221)
energy relative to the elements, uncorrected = -0.246 eV per atom
energy relative to the lowest polymorph listed for this composition = 0.000 eV per atom

a = 4.9187 Å, b = 4.9187 Å, c = 4.9187 Å
α = 90.00°, β = 90.00°, γ = 90.00°
Fractional positions:
Zn 0.0000 0.0000 0.5000
Zn 0.0000 0.5000 0.0000
Zn 0.5000 0.0000 0.0000
Au 0.0000 0.0000 0.0000
F 0.5000 0.5000 0.5000

---

Here is crystalline Zn2AuF at its relaxed geometry from the Alexandria database. Energies are from GGA-PBE.

## Properties
electronic total energy = -9.9 eV per cell
Fermi-level density of states = 1.09 states/eV per cell
volume = 15.3 A^3/atom
space-group type = Fm-3m (225)
energy relative to the elements, uncorrected = -0.558 eV per atom
energy relative to the lowest polymorph listed for this composition = 0.149 eV per atom

a = 4.4252 Å, b = 4.4252 Å, c = 4.4252 Å
α = 60.00°, β = 60.00°, γ = 60.00°
Fractional positions:
Zn 0.2500 0.2500 0.2500
Zn 0.7500 0.7500 0.7500
Au 0.0000 0.0000 0.0000
F 0.5000 0.5000 0.5000

---

Here is crystalline Zn2AuF8 at its relaxed geometry from the Alexandria database. Energies are from GGA-PBE.

## Properties
electronic total energy = -37.7 eV per cell
Fermi-level density of states = 6.45 states/eV per cell
volume = 17.2 A^3/atom
space-group type = C2/m (12)
energy relative to the elements, uncorrected = -1.535 eV per atom

a = 5.4464 Å, b = 5.4464 Å, c = 8.3452 Å
α = 109.04°, β = 109.04°, γ = 55.16°
Fractional positions:
Zn 0.1178 0.1178 0.4200
Zn 0.8822 0.8822 0.5800
Au 0.0000 0.0000 0.0000
F 0.0958 0.0958 0.6493
F 0.1744 0.6747 0.8091
F 0.3242 0.3242 0.4945
F 0.3253 0.8256 0.1909
F 0.6747 0.1744 0.8091
F 0.6758 0.6758 0.5055
F 0.8256 0.3253 0.1909
F 0.9042 0.9042 0.3507

---

Here is crystalline Zn2AuF at its relaxed geometry from the Alexandria database. Energies are from GGA-PBE.

## Properties
electronic total energy = -21.1 eV per cell
Fermi-level density of states = 0.66 states/eV per cell
volume = 16.0 A^3/atom
space-group type = I-42d (122)
energy relative to the elements, uncorrected = -0.708 eV per atom
energy relative to the lowest polymorph listed for this composition = 0.000 eV per atom

a = 5.5036 Å, b = 5.5036 Å, c = 5.5036 Å
α = 109.93°, β = 109.93°, γ = 108.56°
Fractional positions:
Zn 0.0797 0.6250 0.9547
Zn 0.3750 0.3297 0.4547
Zn 0.6703 0.1250 0.0453
Zn 0.8750 0.9203 0.5453
Au 0.2500 0.7500 0.5000
Au 0.5000 0.5000 0.0000
F 0.0000 0.0000 0.0000
F 0.7500 0.2500 0.5000

---

Here is crystalline Zn3AuF at its relaxed geometry from the Alexandria database. Energies are from GGA-PBE.

## Properties
electronic total energy = -10.2 eV per cell
Fermi-level density of states = 1.98 states/eV per cell
volume = 16.1 A^3/atom
space-group type = Pm-3m (221)
energy relative to the elements, uncorrected = -0.241 eV per atom
energy relative to the lowest polymorph listed for this composition = 0.005 eV per atom

a = 4.3159 Å, b = 4.3159 Å, c = 4.3159 Å
α = 90.00°, β = 90.00°, γ = 90.00°
Fractional positions:
Zn 0.0000 0.0000 0.5000
Zn 0.0000 0.5000 0.0000
Zn 0.5000 0.0000 0.0000
Au 0.5000 0.5000 0.5000
F 0.0000 0.0000 0.0000